ZrPaNiO6 | GGA+U | relaxed

The structure in CIF format:
```
data_ZrPaNiO6
_chemical_formula_sum 'Zr1 Pa1 Ni1 O6'
_cell_length_a 5.2398
_cell_length_b 5.2398
_cell_length_c 4.8654
_cell_angle_alpha 90.00
_cell_angle_beta 90.00
_cell_angle_gamma 120.00
_space_group_name_H-M_alt 'P 3 1 2'
_space_group_IT_number 149
loop_
_space_group_symop_operation_xyz
'x,y,z'
'-y,x-y,z'
'-x+y,-x,z'
'-y,-x,-z'
'-x+y,y,-z'
'x,x-y,-z'
loop_
_atom_site_label
_atom_site_type_symbol
_atom_site_fract_x
_atom_site_fract_y
_atom_site_fract_z
_atom_site_occupancy
Zr1 Zr 0.0000 0.0000 0.0000 1
Pa1 Pa 0.3333 0.6667 0.5000 1
Ni1 Ni 0.6667 0.3333 0.0000 1
O1 O 0.3468 0.0131 0.7667 1
```

Final energy ... -73.6 eV per cell